No. 1
The following is a PBEsol calculation of a relaxed CrFe4Re crystal, from Alexandria via LeMat-Bulk.

Cell: 4.5517 4.5517 4.5517 Å, 60.00 60.00 60.00°
Site moments in Bohr magnetons follow the coordinates.
Fractional positions:
1 Fe 0.6253 0.6253 0.6253  1.17
2 Fe 0.6253 0.1240 0.6253  1.17
3 Fe 0.6253 0.6253 0.1240  1.17
4 Fe 0.1240 0.6253 0.6253  1.17
5 Cr 0.0000 0.0000 0.0000  -0.77
6 Re 0.2500 0.2500 0.2500  -0.14

Properties
crystal system: cubic

---

No. 2
The following is a PBEsol calculation of a relaxed CrFe2Re crystal, from Alexandria via LeMat-Bulk.

Cell: 3.5877 3.5877 4.3586 Å, 114.30 114.30 90.00°
Fractional positions:
1 Fe 0.2500 0.7500 0.5000
2 Fe 0.7500 0.2500 0.5000
3 Cr 0.0000 0.0000 0.0000
4 Re 0.5000 0.5000 0.0000

Properties
crystal system: tetragonal

---

No. 3
The following is a PBEsol calculation of a relaxed CrFe2Re crystal, from Alexandria via LeMat-Bulk.

Cell: 3.5851 3.5851 3.5618 Å, 90.00 90.00 90.00°
Site moments in Bohr magnetons follow the coordinates.
Fractional positions:
1 Cr 0.0000 0.0000 0.5000  -0.29
2 Fe 0.0000 0.5000 0.0000  0.58
3 Fe 0.5000 0.0000 0.0000  0.58
4 Re 0.5000 0.5000 0.5000  -0.06

Properties
crystal system: tetragonal

---

No. 4
The following is a PBEsol calculation of a relaxed CrFe2Re crystal, from Alexandria via LeMat-Bulk.

Cell: 2.9827 2.9827 5.2684 Å, 90.00 90.00 90.00°
Site moments in Bohr magnetons follow the coordinates.
Fractional positions:
1 Re 0.0000 0.0000 0.4924  0.08
2 Fe 0.5000 0.5000 0.2358  -1.30
3 Fe 0.0000 0.0000 0.9920  1.46
4 Cr 0.5000 0.5000 0.7798  -0.25

Properties
crystal system: tetragonal

---

No. 5
The following is a PBEsol calculation of a relaxed CrFe2Re crystal, from Alexandria via LeMat-Bulk.

Cell: 2.9547 3.9654 4.0814 Å, 90.00 90.00 90.00°
Site moments in Bohr magnetons follow the coordinates.
Fractional positions:
1 Cr 0.0000 0.5000 0.5000  0.15
2 Fe 0.0000 0.0000 0.0000  2.03
3 Fe 0.5000 0.5000 0.0000  2.23
4 Re 0.5000 0.0000 0.5000  -0.02

Properties
crystal system: orthorhombic

---

No. 6
The following is a PBEsol calculation of a relaxed CrFeRe2Sn crystal, from Alexandria via LeMat-Bulk.

Cell: 4.4089 4.4089 4.6892 Å, 90.00 90.00 90.00°
Site moments in Bohr magnetons follow the coordinates.
Fractional positions:
1 Re 0.0000 0.5000 0.0000  -0.06
2 Re 0.5000 0.0000 0.0000  -0.06
3 Fe 0.5000 0.5000 0.5000  3.04
4 Cr 0.0000 0.0000 0.0000  -0.02
5 Sn 0.0000 0.0000 0.5000  -0.03

Properties
crystal system: tetragonal

---

No. 7
The following is a PBEsol calculation of a relaxed Cr2FeReSn crystal, from Alexandria via LeMat-Bulk.

Cell: 4.8229 4.8229 4.8906 Å, 90.00 90.00 90.00°
Site moments in Bohr magnetons follow the coordinates.
Fractional positions:
1 Sn 0.0000 0.0000 0.0000  0.02
2 Cr 0.5000 0.0000 0.0000  3.60
3 Cr 0.0000 0.5000 0.0000  3.60
4 Fe 0.5000 0.5000 0.5000  3.41
5 Re 0.0000 0.0000 0.5000  -0.75

Properties
crystal system: tetragonal

---

No. 8
The following is a PBEsol calculation of a relaxed Sr2CrFeRe crystal, from Alexandria via LeMat-Bulk.

Cell: 3.9561 5.6756 5.6756 Å, 90.00 90.00 90.00°
Site moments in Bohr magnetons follow the coordinates.
Fractional positions:
1 Sr 0.0000 0.5000 0.0000  0.03
2 Sr 0.0000 0.0000 0.5000  0.03
3 Fe 0.5000 0.0000 0.0000  0.76
4 Cr 0.0000 0.0000 0.0000  1.95
5 Re 0.5000 0.5000 0.5000  2.80

Properties
crystal system: tetragonal

---

No. 9
The following is a PBEsol calculation of a relaxed Cr2FeRh crystal, from Alexandria via LeMat-Bulk.

Cell: 2.5608 3.4941 5.1275 Å, 90.00 90.00 90.00°
Site moments in Bohr magnetons follow the coordinates.
Fractional positions:
1 Rh 0.5000 0.5000 0.5000  0.01
2 Cr 0.0000 0.0000 0.7761  -0.04
3 Cr 0.0000 0.0000 0.2239  -0.04
4 Fe 0.5000 0.5000 0.0000  0.15

Properties
ΔE to the lowest computed polymorph: 0 meV/atom
crystal system: orthorhombic

---

No. 10
The following is a PBEsol calculation of a relaxed Cr2FeRh crystal, from Alexandria via LeMat-Bulk.

Cell: 3.5754 3.5754 4.4031 Å, 113.95 113.95 90.00°
Site moments in Bohr magnetons follow the coordinates.
Fractional positions:
1 Fe 0.5000 0.5000 0.0000  1.14
2 Cr 0.2500 0.7500 0.5000  -0.30
3 Cr 0.7500 0.2500 0.5000  -0.30
4 Rh 0.0000 0.0000 0.0000  0.01

Properties
ΔE to the lowest computed polymorph: 16 meV/atom
crystal system: tetragonal

---

No. 11
The following is a PBEsol calculation of a relaxed CrFe2Rh crystal, from Alexandria via LeMat-Bulk.

Cell: 2.7489 2.7489 6.2031 Å, 90.00 90.00 90.00°
Site moments in Bohr magnetons follow the coordinates.
Fractional positions:
1 Cr 0.5000 0.5000 0.7717  0.10
2 Rh 0.0000 0.0000 0.5014  0.36
3 Fe 0.5000 0.5000 0.2291  2.67
4 Fe 0.0000 0.0000 0.9978  1.88

Properties
crystal system: tetragonal

---

No. 12
The following is a PBEsol calculation of a relaxed CrFe2Rh crystal, from Alexandria via LeMat-Bulk.

Cell: 2.5384 3.5307 5.6959 Å, 90.00 116.45 90.00°
Site moments in Bohr magnetons follow the coordinates.
Fractional positions:
1 Rh 0.5000 0.5000 0.0000  0.09
2 Cr 0.0000 0.5000 0.5000  -1.23
3 Fe 0.7354 0.0000 0.7353  1.48
4 Fe 0.2646 0.0000 0.2647  1.48

Properties
crystal system: orthorhombic

---

Which formation energy belongs to each record? In order, 0.0596; 0.0486; 0.0519; 0.1545; 0.1101; 1.7260; 2.4896; 1.8412; 0.0299; 0.0456; 0.0783; 0.0725 eV per atom.